Compound: Pr2Tl3SnSe6
Source: the Alexandria database
Functional: PBE
Structure: relaxed

Properties
The raw formation energy comes out at -99.46 kJ per mole of atoms. The value obtained for the uncorrected energy is -4.495 eV/atom. Its volume is 30.83 Å³ per atom. The mass density comes out at 6.68 Mg/m³. As for the magnetization: 0.0 Bohr magnetons per cell.

CIF file:
```
data_Pr2Tl3SnSe6
_cell_length_a 4.2839
_cell_length_b 9.1642
_cell_length_c 10.1214
_cell_angle_alpha 107.31
_cell_angle_beta 102.22
_cell_angle_gamma 90.00
_symmetry_space_group_name_H-M 'P 1'
_symmetry_Int_Tables_number 1
loop_
_symmetry_equiv_pos_as_xyz
'x,y,z'
loop_
_atom_site_label
_atom_site_type_symbol
_atom_site_fract_x
_atom_site_fract_y
_atom_site_fract_z
Pr1 Pr 0.8350 0.6661 0.6700
Pr2 Pr 0.1650 0.3339 0.3300
Tl1 Tl 0.5000 0.5000 0.0000
Tl2 Tl 0.8304 0.1613 0.6608
Tl3 Tl 0.1696 0.8387 0.3392
Sn1 Sn 0.5000 0.0000 0.0000
Se1 Se 0.3458 0.8995 0.6916
Se2 Se 0.6752 0.5669 0.3505
Se3 Se 0.6542 0.1005 0.3084
Se4 Se 0.0048 0.2245 0.0096
Se5 Se 0.9952 0.7755 0.9904
Se6 Se 0.3248 0.4331 0.6495
```